The following is a DFT calculation (PBE) of a relaxed structure of K2Tl2Zn.

Structure (POSCAR):
```
K2Tl2Zn
1.0
-3.6007 -4.8852 -4.7506
6.6539 -1.3624 -3.6424
1.1387 -4.4983 3.7627
K Tl Zn
4 4 2
Direct
0.1771 0.6771 0.5000
0.6771 0.8229 0.5000
0.8229 0.3229 0.5000
0.3229 0.1771 0.5000
0.3573 0.8573 0.0000
0.8573 0.6427 0.0000
0.6427 0.1427 0.0000
0.1427 0.3573 0.0000
0.0000 0.0000 0.0000
0.5000 0.5000 0.0000
```

The calculated formation energy is 15 kJ/mol of formula units. For the energy above the most stable polymorph in this dataset, the calculation gives 0 meV/atom.